The following is a DFT calculation (SCAN) of CuRu2Se at its PBEsol-relaxed geometry.

CIF file:
```
data_CuRu2Se
_chemical_formula_sum 'Cu1 Ru2 Se1'
_cell_length_a 4.213
_cell_length_b 4.213
_cell_length_c 4.879
_cell_angle_alpha 100.21
_cell_angle_beta 100.21
_cell_angle_gamma 39.98
_symmetry_space_group_name_H-M 'P 1'
_symmetry_Int_Tables_number 1
loop_
_symmetry_equiv_pos_as_xyz
'x,y,z'
loop_
_atom_site_label
_atom_site_type_symbol
_atom_site_fract_x
_atom_site_fract_y
_atom_site_fract_z
Cu1 Cu 0.000 0.000 0.000
Ru1 Ru 0.248 0.248 0.741
Ru2 Ru 0.752 0.752 0.259
Se1 Se 0.500 0.500 0.500
```

***

The following is a DFT calculation (SCAN) of CuRu2Se at its PBEsol-relaxed geometry.

CIF file:
```
data_CuRu2Se
_chemical_formula_sum 'Cu1 Ru2 Se1'
_cell_length_a 3.938
_cell_length_b 5.183
_cell_length_c 5.183
_cell_angle_alpha 31.56
_cell_angle_beta 90.00
_cell_angle_gamma 90.00
_symmetry_space_group_name_H-M 'P 1'
_symmetry_Int_Tables_number 1
loop_
_symmetry_equiv_pos_as_xyz
'x,y,z'
loop_
_atom_site_label
_atom_site_type_symbol
_atom_site_fract_x
_atom_site_fract_y
_atom_site_fract_z
Cu1 Cu 0.000 0.000 0.000
Ru1 Ru 0.000 0.748 0.748
Ru2 Ru 0.500 0.361 0.361
Se1 Se 0.500 0.604 0.604
```

***

no.,raw formation energy (meV/atom)
1,338
2,376